Entry 1:
A plane-wave DFT calculation with PBE was carried out for ThReI after structural relaxation.

Lattice parameters (Å, degrees): 4.2562 4.2562 12.7073 99.78 99.78 60.01
With the nearest neighbours (Å) after each atom.
Fractional positions:
Th: 0.0555 0.0555 0.1639  3 Re 3.01, 3 I 3.34
Th: 0.9445 0.9445 0.8361  3 Re 3.01, 3 I 3.34
Re: 0.3414 0.3414 0.0239  3 Re 2.53
Re: 0.6586 0.6586 0.9761  3 Re 2.53
I: 0.2167 0.2167 0.6546  3 Th 3.34
I: 0.7833 0.7833 0.3454  3 Th 3.34

Values from the calculation:
uncorrected energy = -7.7798 eV/atom
density = 9.3 Mg/m³


Entry 2:
A plane-wave DFT calculation with PBE was carried out for Th2ReI2 after structural relaxation.

Lattice parameters (Å, degrees): 13.2830 13.2830 6.1725 96.14 96.14 18.62
With the nearest neighbours (Å) after each atom.
Fractional positions:
Th: 0.1574 0.1574 0.3227  2 Re 2.88
Th: 0.2916 0.2916 0.1802  3 Re 2.86-3.04
Th: 0.7084 0.7084 0.8198  3 Re 2.86-3.04
Th: 0.8426 0.8426 0.6773  2 Re 2.88
Re: 0.2699 0.2699 0.6862  5 Th 2.86-3.04
Re: 0.7301 0.7301 0.3138  5 Th 2.86-3.04
I: 0.1083 0.1083 0.8022  4 Th 3.33-3.38
I: 0.4379 0.4379 0.7215  2 Th 3.28
I: 0.5621 0.5621 0.2785  2 Th 3.28
I: 0.8917 0.8917 0.1978  4 Th 3.33-3.38

Values from the calculation:
uncorrected energy = -6.6996 eV/atom
density = 8.7 Mg/m³


Entry 3:
A plane-wave DFT calculation with PBE was carried out for Th3ReI3 after structural relaxation.

Lattice parameters (Å, degrees): 9.6032 4.1853 12.7108 90.00 92.39 90.00
With the nearest neighbours (Å) after each atom.
Fractional positions:
Th: 0.0837 0.2500 0.3919  3 Re 2.87-2.95
Th: 0.1212 0.2500 0.8394  1 Re 2.75
Th: 0.3109 0.7500 0.6222  2 Re 2.78
Th: 0.6891 0.2500 0.3778  2 Re 2.78
Th: 0.8788 0.7500 0.1606  1 Re 2.75
Th: 0.9163 0.7500 0.6081  3 Re 2.87-2.95
Re: 0.1200 0.2500 0.6232  6 Th 2.75-2.95
Re: 0.8800 0.7500 0.3768  6 Th 2.75-2.95
I: 0.1363 0.2500 0.1154  4 Th 3.31-3.57
I: 0.3818 0.7500 0.8781  3 Th 3.28-3.30
I: 0.3867 0.7500 0.3678  5 Th 3.34-3.61
I: 0.6133 0.2500 0.6322  5 Th 3.34-3.61
I: 0.6182 0.2500 0.1219  3 Th 3.28-3.30
I: 0.8637 0.7500 0.8846  4 Th 3.31-3.57

Values from the calculation:
uncorrected energy = -6.3073 eV/atom
density = 8.2 Mg/m³